Entry 1:
VASP calculation (PBE-GGA) on crystalline EuGdZnRu at its relaxed geometry.

Geometry as POSCAR:
```
EuGdZnRu
1.0
0.000 3.537 3.537
3.537 0.000 3.537
3.537 3.537 0.000
Eu Gd Zn Ru
1 1 1 1
Cartesian
0.000 0.000 0.000
3.537 3.537 3.537
5.306 5.306 5.306
1.769 1.769 1.769
```

- total magnetic moment (Bohr magnetons per cell) = 0.2
- DFT formation energy (eV/f.u.) = -0.58



Entry 2:
VASP calculation (PBE-GGA) on crystalline Cr2SiOs at its relaxed geometry.

Geometry as POSCAR:
```
Cr2SiOs
1.0
2.742 0.000 0.000
0.000 3.701 0.000
0.000 0.000 4.979
Cr Si Os
2 1 1
Cartesian
0.000 0.000 0.000
1.371 1.851 1.216
1.371 1.851 3.766
0.000 0.000 2.551
```

- total magnetic moment (Bohr magnetons per cell) = 0.1
- uncorrected formation energy (eV per atom) = -0.0123



Entry 3:
VASP calculation (PBE-GGA) on crystalline NiPt4Rh3 at its relaxed geometry.

Geometry as POSCAR:
```
NiPt4Rh3
1.0
8.977 -1.379 0.000
8.977 1.379 0.000
-0.405 0.000 4.746
Ni Pt Rh
1 4 3
Cartesian
0.000 0.000 0.000
2.061 0.000 1.777
6.736 0.000 0.586
10.812 0.000 4.160
15.487 0.000 2.970
4.196 0.000 3.564
8.774 0.000 2.373
13.352 0.000 1.183
```

- total magnetic moment (Bohr magnetons per cell) = 2.1
- DFT formation energy (eV/f.u.) = -0.10
- excess energy over the best structure of this formula in the dataset (kJ/mol of formula units) = 15



Entry 4:
VASP calculation (PBE-GGA) on crystalline DyCo2SiH at its relaxed geometry.

Geometry as POSCAR:
```
DyCo2SiH
1.0
1.809 -5.093 0.000
1.809 5.093 0.000
0.000 0.000 6.741
Dy Co Si H
2 4 2 2
Cartesian
1.809 4.503 5.056
1.809 -4.503 1.685
1.809 1.651 3.754
1.809 1.651 6.358
1.809 -1.651 0.383
1.809 -1.651 2.987
1.809 2.825 1.685
1.809 -2.825 5.056
1.809 0.000 0.000
1.809 0.000 3.370
```

- total magnetic moment (Bohr magnetons per cell) = 0.6
- DFT total energy (eV/f.u.) = -30.51



Entry 5:
VASP calculation (PBE-GGA) on crystalline Ce2Dy3HoS6 at its relaxed geometry.

Geometry as POSCAR:
```
Ce2Dy3HoS6
1.0
3.405 -5.906 0.000
3.405 5.906 0.000
-2.284 0.000 6.456
Ce Dy Ho S
2 3 1 6
Cartesian
3.405 3.941 0.000
3.405 -3.941 0.000
-1.142 0.000 3.228
2.263 1.976 3.228
2.263 -1.976 3.228
3.405 0.000 0.000
0.012 1.932 4.799
1.176 0.000 1.661
0.012 -1.932 4.799
4.514 1.932 1.656
3.351 0.000 4.795
4.514 -1.932 1.656
```

- total magnetic moment (Bohr magnetons per cell) = 1.5
- uncorrected formation energy (eV per atom) = -2.0140



Entry 6:
VASP calculation (PBE-GGA) on crystalline Ca2YW at its relaxed geometry.

Geometry as POSCAR:
```
Ca2YW
1.0
3.172 -5.256 0.000
3.172 5.256 0.000
0.000 0.000 3.179
Ca Y W
2 1 1
Cartesian
1.586 2.628 0.000
1.586 -2.628 0.000
0.000 0.000 1.589
3.172 0.000 1.589
```

- total magnetic moment (Bohr magnetons per cell) = 0.0
- DFT formation energy (eV/f.u.) = 3.43
- excess energy over the best structure of this formula in the dataset (kJ/mol of formula units) = 100



Entry 7:
VASP calculation (PBE-GGA) on crystalline HfOs3Ru at its relaxed geometry.

Geometry as POSCAR:
```
HfOs3Ru
1.0
4.708 0.000 0.000
0.000 4.708 0.000
0.000 0.000 4.708
Hf Os Ru
1 3 1
Cartesian
0.000 0.000 0.000
0.000 0.000 2.354
0.000 2.354 0.000
2.354 0.000 0.000
2.354 2.354 2.354
```

- total magnetic moment (Bohr magnetons per cell) = 1.5
- DFT formation energy (eV/f.u.) = 13.27
- excess energy over the best structure of this formula in the dataset (kJ/mol of formula units) = 454



Entry 8:
VASP calculation (PBE-GGA) on crystalline LiNbSb2 at its relaxed geometry.

Geometry as POSCAR:
```
LiNbSb2
1.0
-3.304 3.304 5.963
3.304 -3.304 5.963
3.304 3.304 -5.963
Li Nb Sb
2 2 4
Cartesian
0.000 0.000 0.000
0.000 3.304 2.981
3.304 0.000 2.981
0.000 0.000 5.963
1.652 -1.505 4.472
1.800 1.652 1.491
1.652 4.809 -1.491
1.505 1.652 7.453
```

- total magnetic moment (Bohr magnetons per cell) = 0.0
- uncorrected formation energy (eV per atom) = 0.2298
- excess energy over the best structure of this formula in the dataset (kJ/mol of formula units) = 187



Entry 9:
VASP calculation (PBE-GGA) on crystalline Ho3MgAl2 at its relaxed geometry.

Geometry as POSCAR:
```
Ho3MgAl2
1.0
3.616 0.000 0.000
0.000 3.616 0.000
0.000 0.000 11.119
Ho Mg Al
3 1 2
Cartesian
0.000 0.000 0.000
0.000 0.000 3.562
0.000 0.000 7.558
1.808 1.808 5.560
1.808 1.808 1.816
1.808 1.808 9.303
```

- total magnetic moment (Bohr magnetons per cell) = 0.0
- DFT formation energy (eV/f.u.) = -1.80
- excess energy over the best structure of this formula in the dataset (kJ/mol of formula units) = 9



Entry 10:
VASP calculation (PBE-GGA) on crystalline Pu2NpOs at its relaxed geometry.

Geometry as POSCAR:
```
Pu2NpOs
1.0
4.982 0.000 0.000
0.000 4.982 0.000
0.000 0.000 3.070
Pu Np Os
2 1 1
Cartesian
0.000 2.491 0.000
2.491 0.000 0.000
0.000 0.000 1.535
2.491 2.491 1.535
```

- total magnetic moment (Bohr magnetons per cell) = 5.6
- DFT formation energy (eV/f.u.) = 0.71
- excess energy over the best structure of this formula in the dataset (kJ/mol of formula units) = 3



Entry 11:
VASP calculation (PBE-GGA) on crystalline TbNiGe at its relaxed geometry.

Geometry as POSCAR:
```
TbNiGe
1.0
6.982 0.000 0.000
0.000 4.257 0.000
0.000 0.000 7.279
Tb Ni Ge
4 4 4
Cartesian
0.066 1.064 1.500
3.425 3.193 5.140
3.557 1.064 2.139
6.916 3.193 5.779
1.348 3.193 3.046
2.143 1.064 6.685
4.839 3.193 0.594
5.634 1.064 4.234
1.367 1.064 4.285
2.124 3.193 0.645
4.858 1.064 6.634
5.615 3.193 2.995
```

- total magnetic moment (Bohr magnetons per cell) = 0.0
- DFT formation energy (eV/f.u.) = -2.38



Entry 12:
VASP calculation (PBE-GGA) on crystalline TiCdH2 at its relaxed geometry.

Geometry as POSCAR:
```
TiCdH2
1.0
-2.233 2.233 4.683
2.233 -2.233 4.683
2.233 2.233 -4.683
Ti Cd H
2 2 4
Cartesian
0.000 0.000 0.000
0.000 2.233 2.341
2.233 0.000 2.341
0.000 0.000 4.683
3.349 0.720 -1.171
0.720 1.116 1.171
-1.116 1.513 3.512
1.513 1.116 5.853
```

- total magnetic moment (Bohr magnetons per cell) = 0.0
- excess energy over the best structure of this formula in the dataset (kJ/mol of formula units) = 0



Entry 13:
VASP calculation (PBE-GGA) on crystalline TbPrYTl at its relaxed geometry.

Geometry as POSCAR:
```
TbPrYTl
1.0
4.856 0.000 0.000
0.000 4.902 0.000
0.000 0.000 5.019
Tb Pr Y Tl
1 1 1 1
Cartesian
0.000 0.000 0.000
2.428 2.451 0.000
0.000 2.451 2.509
2.428 0.000 2.509
```

- total magnetic moment (Bohr magnetons per cell) = 0.0
- DFT formation energy (eV/f.u.) = -0.77
- excess energy over the best structure of this formula in the dataset (kJ/mol of formula units) = 0



Entry 14:
VASP calculation (PBE-GGA) on crystalline ZnRe2Bi at its relaxed geometry.

Geometry as POSCAR:
```
ZnRe2Bi
1.0
0.000 3.239 3.239
3.239 0.000 3.239
3.239 3.239 0.000
Zn Re Bi
1 2 1
Cartesian
0.000 0.000 0.000
1.619 1.619 1.619
4.858 4.858 4.858
3.239 3.239 3.239
```

- total magnetic moment (Bohr magnetons per cell) = 0.0
- DFT formation energy (eV/f.u.) = 4.00
- excess energy over the best structure of this formula in the dataset (kJ/mol of formula units) = 84



Entry 15:
VASP calculation (PBE-GGA) on crystalline BaGaAsBr2 at its relaxed geometry.

Geometry as POSCAR:
```
BaGaAsBr2
1.0
6.233 0.000 0.000
0.000 6.233 0.000
0.000 0.000 6.538
Ba Ga As Br
1 1 1 2
Cartesian
0.000 0.000 0.000
3.116 3.116 3.269
0.000 0.000 3.269
0.000 3.116 0.000
3.116 0.000 0.000
```

- total magnetic moment (Bohr magnetons per cell) = 2.0
- uncorrected formation energy (eV per atom) = -0.4231
- excess energy over the best structure of this formula in the dataset (kJ/mol of formula units) = 203



Entry 16:
VASP calculation (PBE-GGA) on crystalline MnCdPt at its relaxed geometry.

Geometry as POSCAR:
```
MnCdPt
1.0
4.502 0.000 0.000
-2.251 3.899 0.000
0.000 0.000 2.879
Mn Cd Pt
1 1 1
Cartesian
0.000 0.000 0.000
2.251 1.300 1.767
0.000 2.599 0.597
```

- total magnetic moment (Bohr magnetons per cell) = 4.2
- DFT formation energy (eV/f.u.) = -0.33



Entry 17:
VASP calculation (PBE-GGA) on crystalline NiPtS4 at its relaxed geometry.

Geometry as POSCAR:
```
NiPtS4
1.0
6.012 0.000 0.000
0.000 3.475 0.000
-1.880 0.000 6.146
Ni Pt S
1 1 4
Cartesian
0.000 0.000 0.000
3.006 1.738 0.000
0.922 1.738 1.169
0.042 0.000 4.920
4.090 0.000 1.226
3.210 1.738 4.977
```

- total magnetic moment (Bohr magnetons per cell) = 0.0
- uncorrected formation energy (eV per atom) = -0.2695



Entry 18:
VASP calculation (PBE-GGA) on crystalline Pu2Tl2Cd at its relaxed geometry.

Geometry as POSCAR:
```
Pu2Tl2Cd
1.0
4.725 -5.069 0.000
4.725 5.069 0.000
0.000 0.000 5.725
Pu Tl Cd
4 4 2
Cartesian
3.897 3.000 0.000
5.553 3.000 2.863
3.897 -3.000 2.863
5.553 -3.000 0.000
2.220 0.982 2.863
2.220 -0.982 0.000
7.230 0.982 0.000
7.230 -0.982 2.863
4.725 0.000 1.431
4.725 0.000 4.294
```

- total magnetic moment (Bohr magnetons per cell) = 24.9
- DFT formation energy (eV/f.u.) = 0.67
- excess energy over the best structure of this formula in the dataset (kJ/mol of formula units) = 0



Entry 19:
VASP calculation (PBE-GGA) on crystalline HoMgZnPb at its relaxed geometry.

Geometry as POSCAR:
```
HoMgZnPb
1.0
0.000 3.618 3.618
3.618 0.000 3.618
3.618 3.618 0.000
Ho Mg Zn Pb
1 1 1 1
Cartesian
0.000 0.000 0.000
3.618 3.618 3.618
1.809 1.809 1.809
5.428 5.428 5.428
```

- total magnetic moment (Bohr magnetons per cell) = 0.0
- DFT formation energy (eV/f.u.) = -0.74
- excess energy over the best structure of this formula in the dataset (kJ/mol of formula units) = 40



Entry 20:
VASP calculation (PBE-GGA) on crystalline Nd12Sm2Ho5 at its relaxed geometry.

Geometry as POSCAR:
```
Nd12Sm2Ho5
1.0
7.950 -5.138 0.000
7.950 5.138 0.000
-0.223 0.000 8.047
Nd Sm Ho
12 2 5
Cartesian
0.779 0.000 1.704
4.763 2.360 5.688
6.242 2.812 0.897
9.436 2.812 7.150
5.436 0.000 3.054
10.915 2.360 2.359
4.763 -2.360 5.688
10.241 0.000 4.993
6.242 -2.812 0.897
9.436 -2.812 7.150
10.915 -2.360 2.359
14.898 0.000 6.343
7.839 2.456 4.024
7.839 -2.456 4.024
2.247 0.000 4.714
4.040 0.000 0.084
7.950 0.000 0.000
11.637 0.000 7.963
13.431 0.000 3.333
```

- total magnetic moment (Bohr magnetons per cell) = 0.0
- DFT formation energy (eV/f.u.) = 2.43
- excess energy over the best structure of this formula in the dataset (kJ/mol of formula units) = 55